Compound: TiVP
Source: the Alexandria database
Functional: PBE
Structure: relaxed

The structure in CIF format:
```
data_TiVP
_symmetry_space_group_name_H-M 'C 1 2/m 1'
_symmetry_Int_Tables_number 12
_cell_length_a 14.7550
_cell_length_b 3.3410
_cell_length_c 7.6111
_cell_angle_alpha 90.00
_cell_angle_beta 92.59
_cell_angle_gamma 90.00
loop_
_symmetry_equiv_pos_as_xyz
'x,y,z'
'-x,-y,-z'
'-x,y,-z'
'x,-y,z'
'x+1/2,y+1/2,z'
'-x+1/2,-y+1/2,-z'
'-x+1/2,y+1/2,-z'
'x+1/2,-y+1/2,z'
loop_
_atom_site_label
_atom_site_type_symbol
_atom_site_fract_x
_atom_site_fract_y
_atom_site_fract_z
Ti1 Ti 0.0381 0.0000 0.3300
Ti2 Ti 0.0932 0.5000 0.8599
V1 V 0.2432 0.0000 0.3733
V2 V 0.2462 0.0000 0.8705
P1 P 0.1324 0.0000 0.6159
P2 P 0.1407 0.0000 0.1008
```

Computed properties:
- raw total energy (Ry per atom) = -0.58755
- calculated density (Mg/m³) = 4.6

Compound: TiVP
Source: the Alexandria database
Functional: PBE
Structure: relaxed

The structure in CIF format:
```
data_TiVP
_symmetry_space_group_name_H-M 'P 1 21/m 1'
_symmetry_Int_Tables_number 11
_cell_length_a 6.4982
_cell_length_b 3.3357
_cell_length_c 11.2894
_cell_angle_alpha 90.00
_cell_angle_beta 90.13
_cell_angle_gamma 90.00
loop_
_symmetry_equiv_pos_as_xyz
'x,y,z'
'-x,-y,-z'
'-x,y+1/2,-z'
'x,-y+1/2,z'
loop_
_atom_site_label
_atom_site_type_symbol
_atom_site_fract_x
_atom_site_fract_y
_atom_site_fract_z
Ti1 Ti 0.0426 0.2500 0.1177
Ti2 Ti 0.1457 0.2500 0.4092
Ti3 Ti 0.4569 0.7500 0.7800
V1 V 0.1279 0.2500 0.7041
V2 V 0.3678 0.7500 0.0411
V3 V 0.4946 0.7500 0.4159
P1 P 0.2442 0.7500 0.2486
P2 P 0.2451 0.7500 0.5742
P3 P 0.2524 0.2500 0.9077
```

Computed properties:
- raw total energy (Ry per atom) = -0.62690
- calculated density (Mg/m³) = 5.3

Compound: TiVP2
Source: the Alexandria database
Functional: PBE
Structure: relaxed

The structure in CIF format:
```
data_TiVP2
_symmetry_space_group_name_H-M 'I -4 2 d'
_symmetry_Int_Tables_number 122
_symmetry_space_group_name_Hall 'I -4 2bw'
_cell_length_a 5.4471
_cell_length_b 5.4471
_cell_length_c 11.0647
_cell_angle_alpha 90.00
_cell_angle_beta 90.00
_cell_angle_gamma 90.00
loop_
_atom_site_label
_atom_site_type_symbol
_atom_site_fract_x
_atom_site_fract_y
_atom_site_fract_z
Ti1 Ti 0.0000 0.0000 0.0000
V1 V 0.0000 0.0000 0.5000
P1 P 0.2381 0.2500 0.6250
```

Computed properties:
- raw total energy (Ry per atom) = -0.53040
- calculated density (Mg/m³) = 3.3
- offset from the most stable computed form (kJ/mol of atoms) = 64.47

Compound: Ti3V2P3
Source: the Alexandria database
Functional: PBE
Structure: relaxed

The structure in CIF format:
```
data_Ti3V2P3
_symmetry_space_group_name_H-M 'P 63/m c m'
_symmetry_Int_Tables_number 193
_symmetry_space_group_name_Hall '-P 6c 2'
_cell_length_a 7.1495
_cell_length_b 7.1495
_cell_length_c 4.9278
_cell_angle_alpha 90.00
_cell_angle_beta 90.00
_cell_angle_gamma 120.00
loop_
_atom_site_label
_atom_site_type_symbol
_atom_site_fract_x
_atom_site_fract_y
_atom_site_fract_z
Ti1 Ti 0.0000 0.2570 0.2500
V1 V 0.3333 0.6667 0.0000
P1 P 0.0000 0.3890 0.7500
```

Computed properties:
- raw total energy (Ry per atom) = -0.60975
- calculated density (Mg/m³) = 5.2

Compound: TiVP
Source: the Alexandria database
Functional: PBE
Structure: relaxed

The structure in CIF format:
```
data_TiVP
_symmetry_space_group_name_H-M 'I 4 m m'
_symmetry_Int_Tables_number 107
_symmetry_space_group_name_Hall 'I 4 -2'
_cell_length_a 3.1889
_cell_length_b 3.1889
_cell_length_c 8.0698
_cell_angle_alpha 90.00
_cell_angle_beta 90.00
_cell_angle_gamma 90.00
loop_
_atom_site_label
_atom_site_type_symbol
_atom_site_fract_x
_atom_site_fract_y
_atom_site_fract_z
Ti1 Ti 0.0000 0.0000 0.0000
V1 V 0.0000 0.0000 0.3179
P1 P 0.0000 0.0000 0.6711
```

Computed properties:
- raw total energy (Ry per atom) = -0.59607
- calculated density (Mg/m³) = 5.3

Compound: YTiVP2
Source: the Alexandria database
Functional: PBE
Structure: relaxed

The structure in CIF format:
```
data_YTiVP2
_symmetry_space_group_name_H-M 'P 4/m m m'
_symmetry_Int_Tables_number 123
_symmetry_space_group_name_Hall '-P 4 2'
_cell_length_a 5.0918
_cell_length_b 5.0918
_cell_length_c 4.8098
_cell_angle_alpha 90.00
_cell_angle_beta 90.00
_cell_angle_gamma 90.00
loop_
_atom_site_label
_atom_site_type_symbol
_atom_site_fract_x
_atom_site_fract_y
_atom_site_fract_z
Y1 Y 0.0000 0.0000 0.0000
Ti1 Ti 0.5000 0.5000 0.5000
V1 V 0.0000 0.0000 0.5000
P1 P 0.0000 0.5000 0.0000
```

Computed properties:
- raw total energy (Ry per atom) = -0.40894
- calculated density (Mg/m³) = 3.3
- offset from the most stable computed form (kJ/mol of atoms) = 126.63

Compound: YTiVP2
Source: the Alexandria database
Functional: PBE
Structure: relaxed

The structure in CIF format:
```
data_YTiVP2
_symmetry_space_group_name_H-M 'P 4/m m m'
_symmetry_Int_Tables_number 123
_symmetry_space_group_name_Hall '-P 4 2'
_cell_length_a 4.8005
_cell_length_b 4.8005
_cell_length_c 4.2449
_cell_angle_alpha 90.00
_cell_angle_beta 90.00
_cell_angle_gamma 90.00
loop_
_atom_site_label
_atom_site_type_symbol
_atom_site_fract_x
_atom_site_fract_y
_atom_site_fract_z
Y1 Y 0.0000 0.0000 0.0000
Ti1 Ti 0.5000 0.5000 0.5000
V1 V 0.5000 0.5000 0.0000
P1 P 0.0000 0.5000 0.5000
```

Computed properties:
- raw total energy (Ry per atom) = -0.50541
- calculated density (Mg/m³) = 4.2
- offset from the most stable computed form (kJ/mol of atoms) = 0.00

Compound: Ti3P12W5
Source: the Alexandria database
Functional: PBE
Structure: relaxed

The structure in CIF format:
```
data_Ti3P12W5
_symmetry_space_group_name_H-M 'I a -3 d'
_symmetry_Int_Tables_number 230
_symmetry_space_group_name_Hall '-I 4bd 2c 3'
_cell_length_a 14.3041
_cell_length_b 14.3041
_cell_length_c 14.3041
_cell_angle_alpha 90.00
_cell_angle_beta 90.00
_cell_angle_gamma 90.00
loop_
_atom_site_label
_atom_site_type_symbol
_atom_site_fract_x
_atom_site_fract_y
_atom_site_fract_z
Ti1 Ti 0.0000 0.2500 0.1250
P1 P 0.0250 0.0800 0.6523
W1 W 0.0000 0.0000 0.0000
W2 W 0.0000 0.2500 0.3750
```

Computed properties:
- raw total energy (Ry per atom) = -0.55664
- calculated density (Mg/m³) = 6.5

Compound: TiP2W
Source: the Alexandria database
Functional: PBE
Structure: relaxed

The structure in CIF format:
```
data_TiP2W
_symmetry_space_group_name_H-M 'I m m 2'
_symmetry_Int_Tables_number 44
_cell_length_a 3.2292
_cell_length_b 3.2931
_cell_length_c 11.1474
_cell_angle_alpha 90.00
_cell_angle_beta 90.00
_cell_angle_gamma 90.00
loop_
_symmetry_equiv_pos_as_xyz
'x,y,z'
'-x,-y,z'
'-x,y,z'
'x,-y,z'
'x+1/2,y+1/2,z+1/2'
'-x+1/2,-y+1/2,z+1/2'
'-x+1/2,y+1/2,z+1/2'
'x+1/2,-y+1/2,z+1/2'
loop_
_atom_site_label
_atom_site_type_symbol
_atom_site_fract_x
_atom_site_fract_y
_atom_site_fract_z
Ti1 Ti 0.0000 0.0000 0.0000
P1 P 0.0000 0.0000 0.4208
P2 P 0.0000 0.5000 0.1673
W1 W 0.0000 0.5000 0.7551
```

Computed properties:
- raw total energy (Ry per atom) = -0.64228
- calculated density (Mg/m³) = 8.2
- offset from the most stable computed form (kJ/mol of atoms) = 0.00

Compound: TiP2W
Source: the Alexandria database
Functional: PBE
Structure: relaxed

The structure in CIF format:
```
data_TiP2W
_symmetry_space_group_name_H-M 'P -3 m 1'
_symmetry_Int_Tables_number 164
_symmetry_space_group_name_Hall '-P 3 2"'
_cell_length_a 3.2321
_cell_length_b 3.2321
_cell_length_c 6.5547
_cell_angle_alpha 90.00
_cell_angle_beta 90.00
_cell_angle_gamma 120.00
loop_
_atom_site_label
_atom_site_type_symbol
_atom_site_fract_x
_atom_site_fract_y
_atom_site_fract_z
Ti1 Ti 0.0000 0.0000 0.0000
P1 P 0.3333 0.6667 0.2504
W1 W 0.0000 0.0000 0.5000
```

Computed properties:
- raw total energy (Ry per atom) = -0.63805
- calculated density (Mg/m³) = 8.2
- offset from the most stable computed form (kJ/mol of atoms) = 5.55

Compound: TiP2W
Source: the Alexandria database
Functional: PBE
Structure: relaxed

The structure in CIF format:
```
data_TiP2W
_symmetry_space_group_name_H-M 'I -4 2 d'
_symmetry_Int_Tables_number 122
_symmetry_space_group_name_Hall 'I -4 2bw'
_cell_length_a 5.4309
_cell_length_b 5.4309
_cell_length_c 11.1827
_cell_angle_alpha 90.00
_cell_angle_beta 90.00
_cell_angle_gamma 90.00
loop_
_atom_site_label
_atom_site_type_symbol
_atom_site_fract_x
_atom_site_fract_y
_atom_site_fract_z
Ti1 Ti 0.0000 0.0000 0.0000
P1 P 0.2371 0.2500 0.6250
W1 W 0.0000 0.0000 0.5000
```

Computed properties:
- raw total energy (Ry per atom) = -0.57899
- calculated density (Mg/m³) = 5.9
- offset from the most stable computed form (kJ/mol of atoms) = 83.08

Compound: TiP2W2
Source: the Alexandria database
Functional: PBE
Structure: relaxed

The structure in CIF format:
```
data_TiP2W2
_symmetry_space_group_name_H-M 'P 4/m b m'
_symmetry_Int_Tables_number 127
_symmetry_space_group_name_Hall '-P 4 2ab'
_cell_length_a 7.1319
_cell_length_b 7.1319
_cell_length_c 2.9443
_cell_angle_alpha 90.00
_cell_angle_beta 90.00
_cell_angle_gamma 90.00
loop_
_atom_site_label
_atom_site_type_symbol
_atom_site_fract_x
_atom_site_fract_y
_atom_site_fract_z
Ti1 Ti 0.0000 0.0000 0.0000
P1 P 0.1542 0.3458 0.5000
W1 W 0.1421 0.6421 0.0000
```

Computed properties:
- raw total energy (Ry per atom) = -0.65513
- calculated density (Mg/m³) = 10.6
- offset from the most stable computed form (kJ/mol of atoms) = 0.00

Compound: Ti3PW
Source: the Alexandria database
Functional: PBE
Structure: relaxed

The structure in CIF format:
```
data_Ti3PW
_symmetry_space_group_name_H-M 'P m -3 m'
_symmetry_Int_Tables_number 221
_symmetry_space_group_name_Hall '-P 4 2 3'
_cell_length_a 4.4635
_cell_length_b 4.4635
_cell_length_c 4.4635
_cell_angle_alpha 90.00
_cell_angle_beta 90.00
_cell_angle_gamma 90.00
loop_
_atom_site_label
_atom_site_type_symbol
_atom_site_fract_x
_atom_site_fract_y
_atom_site_fract_z
Ti1 Ti 0.0000 0.0000 0.5000
P1 P 0.0000 0.0000 0.0000
W1 W 0.5000 0.5000 0.5000
```

Computed properties:
- raw total energy (Ry per atom) = -0.60764
- calculated density (Mg/m³) = 6.7
- offset from the most stable computed form (kJ/mol of atoms) = 0.00

Compound: TiP2W
Source: the Alexandria database
Functional: PBE
Structure: relaxed

The structure in CIF format:
```
data_TiP2W
_symmetry_space_group_name_H-M 'R -3 m'
_symmetry_Int_Tables_number 166
_symmetry_space_group_name_Hall '-R 3 2"'
_cell_length_a 3.5149
_cell_length_b 3.5149
_cell_length_c 17.2375
_cell_angle_alpha 90.00
_cell_angle_beta 90.00
_cell_angle_gamma 120.00
loop_
_atom_site_label
_atom_site_type_symbol
_atom_site_fract_x
_atom_site_fract_y
_atom_site_fract_z
Ti1 Ti 0.0000 0.0000 0.0000
P1 P 0.0000 0.0000 0.2498
W1 W 0.0000 0.0000 0.5000
```

Computed properties:
- raw total energy (Ry per atom) = -0.60964
- calculated density (Mg/m³) = 7.9
- offset from the most stable computed form (kJ/mol of atoms) = 42.84

Compound: Ti3PW
Source: the Alexandria database
Functional: PBE
Structure: relaxed

The structure in CIF format:
```
data_Ti3PW
_symmetry_space_group_name_H-M 'P m -3 m'
_symmetry_Int_Tables_number 221
_symmetry_space_group_name_Hall '-P 4 2 3'
_cell_length_a 4.7454
_cell_length_b 4.7454
_cell_length_c 4.7454
_cell_angle_alpha 90.00
_cell_angle_beta 90.00
_cell_angle_gamma 90.00
loop_
_atom_site_label
_atom_site_type_symbol
_atom_site_fract_x
_atom_site_fract_y
_atom_site_fract_z
Ti1 Ti 0.0000 0.0000 0.5000
P1 P 0.5000 0.5000 0.5000
W1 W 0.0000 0.0000 0.0000
```

Computed properties:
- raw total energy (Ry per atom) = -0.54379
- calculated density (Mg/m³) = 5.6
- offset from the most stable computed form (kJ/mol of atoms) = 83.82

Compound: TiP4W3
Source: the Alexandria database
Functional: PBE
Structure: relaxed

The structure in CIF format:
```
data_TiP4W3
_symmetry_space_group_name_H-M 'P 1 m 1'
_symmetry_Int_Tables_number 6
_cell_length_a 5.7620
_cell_length_b 3.2743
_cell_length_c 6.3006
_cell_angle_alpha 90.00
_cell_angle_beta 90.26
_cell_angle_gamma 90.00
loop_
_symmetry_equiv_pos_as_xyz
'x,y,z'
'x,-y,z'
loop_
_atom_site_label
_atom_site_type_symbol
_atom_site_fract_x
_atom_site_fract_y
_atom_site_fract_z
Ti1 Ti 0.0000 0.0000 0.0000
P1 P 0.1823 0.0000 0.3782
P2 P 0.3039 0.5000 0.8701
P3 P 0.6829 0.0000 0.7430
P4 P 0.7991 0.5000 0.2403
W1 W 0.4818 0.5000 0.4974
W2 W 0.4979 0.0000 0.1182
W3 W 0.9806 0.5000 0.6196
```

Computed properties:
- raw total energy (Ry per atom) = -0.67096
- calculated density (Mg/m³) = 10.1

Compound: TiP2W
Source: the Alexandria database
Functional: PBE
Structure: relaxed

The structure in CIF format:
```
data_TiP2W
_symmetry_space_group_name_H-M 'R 3 m'
_symmetry_Int_Tables_number 160
_symmetry_space_group_name_Hall 'R 3 -2"'
_cell_length_a 3.3140
_cell_length_b 3.3140
_cell_length_c 19.0954
_cell_angle_alpha 90.00
_cell_angle_beta 90.00
_cell_angle_gamma 120.00
loop_
_atom_site_label
_atom_site_type_symbol
_atom_site_fract_x
_atom_site_fract_y
_atom_site_fract_z
Ti1 Ti 0.0000 0.0000 0.0000
P1 P 0.0000 0.0000 0.4193
P2 P 0.0000 0.0000 0.5831
W1 W 0.0000 0.0000 0.8343
```

Computed properties:
- raw total energy (Ry per atom) = -0.62797
- calculated density (Mg/m³) = 8.1
- offset from the most stable computed form (kJ/mol of atoms) = 18.78

Compound: TiP2W2
Source: the Alexandria database
Functional: PBE
Structure: relaxed

The structure in CIF format:
```
data_TiP2W2
_symmetry_space_group_name_H-M 'I 4/m m m'
_symmetry_Int_Tables_number 139
_symmetry_space_group_name_Hall '-I 4 2'
_cell_length_a 4.5038
_cell_length_b 4.5038
_cell_length_c 8.3813
_cell_angle_alpha 90.00
_cell_angle_beta 90.00
_cell_angle_gamma 90.00
loop_
_atom_site_label
_atom_site_type_symbol
_atom_site_fract_x
_atom_site_fract_y
_atom_site_fract_z
Ti1 Ti 0.0000 0.0000 0.0000
P1 P 0.0000 0.5000 0.2500
W1 W 0.0000 0.0000 0.3591
```

Computed properties:
- raw total energy (Ry per atom) = -0.64662
- calculated density (Mg/m³) = 9.3
- offset from the most stable computed form (kJ/mol of atoms) = 11.16

Compound: TiP3W
Source: the Alexandria database
Functional: PBE
Structure: relaxed

The structure in CIF format:
```
data_TiP3W
_symmetry_space_group_name_H-M 'P m -3 m'
_symmetry_Int_Tables_number 221
_symmetry_space_group_name_Hall '-P 4 2 3'
_cell_length_a 4.5438
_cell_length_b 4.5438
_cell_length_c 4.5438
_cell_angle_alpha 90.00
_cell_angle_beta 90.00
_cell_angle_gamma 90.00
loop_
_atom_site_label
_atom_site_type_symbol
_atom_site_fract_x
_atom_site_fract_y
_atom_site_fract_z
Ti1 Ti 0.0000 0.0000 0.0000
P1 P 0.0000 0.0000 0.5000
W1 W 0.5000 0.5000 0.5000
```

Computed properties:
- raw total energy (Ry per atom) = -0.46116
- calculated density (Mg/m³) = 5.7

Compound: TiPW2
Source: the Alexandria database
Functional: PBE
Structure: relaxed

The structure in CIF format:
```
data_TiPW2
_symmetry_space_group_name_H-M 'I -4 2 d'
_symmetry_Int_Tables_number 122
_symmetry_space_group_name_Hall 'I -4 2bw'
_cell_length_a 3.7416
_cell_length_b 3.7416
_cell_length_c 18.7446
_cell_angle_alpha 90.00
_cell_angle_beta 90.00
_cell_angle_gamma 90.00
loop_
_atom_site_label
_atom_site_type_symbol
_atom_site_fract_x
_atom_site_fract_y
_atom_site_fract_z
Ti1 Ti 0.0000 0.0000 0.0000
P1 P 0.0000 0.0000 0.5000
W1 W 0.2387 0.2500 0.6250
```

Computed properties:
- raw total energy (Ry per atom) = -0.69899
- calculated density (Mg/m³) = 11.3